No. 1
First-principles (PBE) data for a relaxed Ac3BiP2Rh9 crystal, as listed in Alexandria.

Properties
Space group   No. 164
ΔH_f (0 K)   -0.617 eV per atom
Crystal system   trigonal

POSCAR file:
```
Ac3BiP2Rh9
1.0
6.200 0.000 0.000
-3.100 5.370 0.000
0.000 0.000 9.451
Ac Bi P Rh
3 1 2 9
Cartesian
0.000 0.000 0.000
0.000 3.580 6.471
3.100 1.790 2.980
0.000 0.000 4.726
0.000 3.580 1.453
3.100 1.790 7.999
-1.550 2.685 0.000
0.000 1.671 2.574
-1.653 4.534 2.574
1.447 0.835 6.877
3.100 0.000 0.000
1.550 2.685 0.000
1.653 4.534 2.574
4.754 0.835 6.877
3.100 3.699 6.877
```

---

No. 2
First-principles (PBE) data for a relaxed CdBi6 crystal, as listed in Alexandria.

Properties
Space group   No. 229
ΔH_f (0 K)   0.296 eV per atom
Crystal system   cubic

POSCAR file:
```
CdBi6
1.0
8.867 0.000 0.000
0.000 8.867 0.000
0.000 0.000 8.867
Cd Bi
2 12
Cartesian
0.000 0.000 0.000
4.433 4.433 4.433
0.000 2.217 4.433
0.000 4.433 2.217
0.000 4.433 6.650
0.000 6.650 4.433
2.217 0.000 4.433
2.217 4.433 0.000
4.433 0.000 2.217
4.433 0.000 6.650
4.433 2.217 0.000
4.433 6.650 0.000
6.650 0.000 4.433
6.650 4.433 0.000
```

---

No. 3
First-principles (PBE) data for a relaxed InIrRuO6 crystal, as listed in Alexandria.

Properties
Formation energy (no corrections)   -7.9 eV/f.u.
Space group   No. 163
Crystal system   trigonal

POSCAR file:
```
InIrRuO6
1.0
5.262 0.000 0.000
-2.631 4.557 0.000
0.000 0.000 8.508
In Ir Ru O
2 2 2 12
Cartesian
0.000 3.038 2.127
2.631 1.519 6.381
0.000 3.038 6.381
2.631 1.519 2.127
0.000 0.000 0.000
0.000 0.000 4.254
-0.776 1.545 5.286
-1.680 3.112 7.477
0.776 1.545 7.477
-0.905 4.456 5.286
1.726 0.101 1.032
0.950 1.445 3.222
1.680 3.112 5.286
0.905 4.456 7.477
3.535 0.101 3.222
1.855 3.011 1.032
4.311 1.445 1.032
3.407 3.011 3.222
```

---

No. 4
First-principles (PBE) data for a relaxed Ac2DyC2I2 crystal, as listed in Alexandria.

Properties
Formation energy (no corrections)   -4.0 eV/f.u.
Space group   No. 139
Crystal system   tetragonal

POSCAR file:
```
Ac2DyC2I2
1.0
4.668 0.000 0.000
0.000 4.668 0.000
0.000 0.000 18.660
Ac Dy C I
4 2 4 4
Cartesian
0.000 0.000 1.676
0.000 0.000 16.984
2.334 2.334 7.654
2.334 2.334 11.006
0.000 0.000 9.330
2.334 2.334 0.000
0.000 2.334 0.000
0.000 2.334 9.330
2.334 0.000 0.000
2.334 0.000 9.330
0.000 0.000 6.043
0.000 0.000 12.617
2.334 2.334 3.287
2.334 2.334 15.373
```

---

No. 5
First-principles (PBE) data for a relaxed Cu3NiH4 crystal, as listed in Alexandria.

Properties
Space group   No. 121
Crystal system   tetragonal
Energy   -30.80 eV per formula unit

POSCAR file:
```
Cu3NiH4
1.0
3.962 0.000 0.000
0.000 3.962 0.000
0.000 0.000 7.867
Cu Ni H
6 2 8
Cartesian
0.000 0.000 0.000
0.000 1.981 1.967
0.000 1.981 5.900
1.981 0.000 1.967
1.981 0.000 5.900
1.981 1.981 3.933
0.000 0.000 3.933
1.981 1.981 0.000
0.941 0.941 2.985
0.941 3.022 4.882
1.040 1.040 6.918
1.040 2.922 0.948
2.922 1.040 0.948
2.922 2.922 6.918
3.022 0.941 4.882
3.022 3.022 2.985
```

---

No. 6
First-principles (PBE) data for a relaxed NaMgWI2 crystal, as listed in Alexandria.

Properties
Formation energy (no corrections)   3.9 eV/f.u.
Space group   No. 123
Crystal system   tetragonal

POSCAR file:
```
NaMgWI2
1.0
5.893 0.000 0.000
0.000 5.893 0.000
0.000 0.000 5.516
Na Mg W I
1 1 1 2
Cartesian
0.000 0.000 0.000
2.946 2.946 2.758
2.946 2.946 0.000
0.000 2.946 2.758
2.946 0.000 2.758
```